# MnSbP2

An optimized crystal structure of MnSbP2 (GGA-PBE, Alexandria via LeMat-Bulk).

```
data_MnSbP2
_chemical_formula_sum 'Mn3 Sb3 P6'
_cell_length_a 3.2075
_cell_length_b 3.2075
_cell_length_c 23.1854
_cell_angle_alpha 90.00
_cell_angle_beta 90.00
_cell_angle_gamma 120.00
_space_group_name_H-M_alt 'R -3 m'
_space_group_IT_number 166
_space_group_name_Hall '-R 3 2"'
loop_
_atom_site_label
_atom_site_type_symbol
_atom_site_fract_x
_atom_site_fract_y
_atom_site_fract_z
_atom_site_occupancy
Mn1 Mn 0.0000 0.0000 0.0000 1
Sb1 Sb 0.0000 0.0000 0.5000 1
P1 P 0.0000 0.0000 0.2733 1
```

Results
Spin magnetization ... 1.3 μB/f.u.
Formation energy without anion corrections ... 0.08 eV per atom
Crystal system ... trigonal
Calculated volume ... 17.21 Å³ per atom
Total energy ... -5.9478 eV per atom

# YCoPb2

An optimized crystal structure of YCoPb2 (GGA-PBE, Alexandria via LeMat-Bulk).

```
data_YCoPb2
_chemical_formula_sum 'Y1 Co1 Pb2'
_cell_length_a 4.616
_cell_length_b 4.616
_cell_length_c 4.434
_cell_angle_alpha 90.00
_cell_angle_beta 90.00
_cell_angle_gamma 90.00
_space_group_name_H-M_alt 'P 4/m m m'
_space_group_IT_number 123
_space_group_name_Hall '-P 4 2'
loop_
_atom_site_label
_atom_site_type_symbol
_atom_site_fract_x
_atom_site_fract_y
_atom_site_fract_z
_atom_site_occupancy
Y1 Y 0.000 0.000 0.000 1
Co1 Co 0.500 0.500 0.000 1
Pb1 Pb 0.000 0.500 0.500 1
```

Results
Formation energy ... 0.0689 eV/atom
Spin magnetization ... 1.7 μB/f.u.
Crystal system ... tetragonal
Calculated volume ... 23.62 Å³ per atom
Total energy ... -5.1778 eV per atom
Energy relative to the lowest polymorph listed for this composition ... 0.305 eV/f.u.

# BIr2

An optimized crystal structure of BIr2 (GGA-PBE, Alexandria via LeMat-Bulk).

```
data_BIr2
_chemical_formula_sum 'B2 Ir4'
_cell_length_a 3.544
_cell_length_b 3.544
_cell_length_c 6.575
_cell_angle_alpha 90.00
_cell_angle_beta 90.00
_cell_angle_gamma 90.00
_space_group_name_H-M_alt 'I 4/m m m'
_space_group_IT_number 139
_space_group_name_Hall '-I 4 2'
loop_
_atom_site_label
_atom_site_type_symbol
_atom_site_fract_x
_atom_site_fract_y
_atom_site_fract_z
_atom_site_occupancy
B1 B 0.000 0.000 0.000 1
Ir1 Ir 0.000 0.000 0.310 1
```

Results
Formation energy ... 0.6657 eV/atom
Spin magnetization ... 0.0 μB/f.u.
Crystal system ... tetragonal
Calculated volume ... 13.76 Å³ per atom
Total energy ... -7.4675 eV per atom

# Ti2NbHgH

An optimized crystal structure of Ti2NbHgH (GGA-PBE, Alexandria via LeMat-Bulk).

```
data_Ti2NbHgH
_chemical_formula_sum 'Ti2 Nb1 Hg1 H1'
_cell_length_a 4.276
_cell_length_b 4.276
_cell_length_c 3.989
_cell_angle_alpha 90.00
_cell_angle_beta 90.00
_cell_angle_gamma 90.00
_space_group_name_H-M_alt 'P 4/m m m'
_space_group_IT_number 123
_space_group_name_Hall '-P 4 2'
loop_
_atom_site_label
_atom_site_type_symbol
_atom_site_fract_x
_atom_site_fract_y
_atom_site_fract_z
_atom_site_occupancy
Ti1 Ti 0.000 0.500 0.000 1
Nb1 Nb 0.000 0.000 0.500 1
Hg1 Hg 0.500 0.500 0.500 1
H1 H 0.000 0.000 0.000 1
```

Results
Spin magnetization ... 0.0 μB/f.u.
Crystal system ... tetragonal
Calculated volume ... 14.59 Å³ per atom
Total energy ... -6.0533 eV per atom

no.,D(E_F) (states/eV per atom)
1,0.511
2,1.299
3,0.738
4,1.020